This record from Alexandria describes an optimized crystal structure of FeCoSiSn2. The functional is PBE.

Calculated values
- formation energy from raw total energies (eV per atom) = 0.625
- symmetry = P4/mmm, No. 123

Lattice parameters (Å, degrees): 4.832 4.204 4.832 90.00 90.00 90.00
Positions (direct):
Co 0.500 0.500 0.500
Si 0.000 0.500 0.000
Fe 0.000 0.000 0.000
Sn 0.000 0.000 0.500
Sn 0.500 0.000 0.000

***

This record from Alexandria describes an optimized crystal structure of SrFeCoSi2. The functional is PBE.

Calculated values
- formation energy from raw total energies (eV per atom) = -0.464
- symmetry = I-4m2, No. 119

Lattice parameters (Å, degrees): 4.000 4.000 5.965 109.59 109.59 90.00
Positions (direct):
Fe 0.750 0.250 0.500
Sr 0.000 0.000 0.000
Si 0.351 0.351 0.703
Co 0.250 0.750 0.500
Si 0.649 0.649 0.297

***

This record from Alexandria describes an optimized crystal structure of Th2FeCo12Si3. The functional is PBE.

Calculated values
- formation energy from raw total energies (eV per atom) = 0.090
- symmetry = R-3m, No. 166

Lattice parameters (Å, degrees): 8.914 8.914 8.914 39.50 39.50 39.50
Positions (direct):
Co 0.413 0.816 0.413
Si 0.000 0.500 0.000
Si 0.000 0.000 0.500
Si 0.500 0.000 0.000
Co 0.413 0.413 0.816
Co 0.932 0.932 0.354
Th 0.653 0.653 0.653
Co 0.646 0.068 0.068
Co 0.068 0.646 0.068
Th 0.347 0.347 0.347
Co 0.587 0.587 0.184
Fe 0.000 0.000 0.000
Co 0.068 0.068 0.646
Co 0.932 0.354 0.932
Co 0.354 0.932 0.932
Co 0.184 0.587 0.587
Co 0.816 0.413 0.413
Co 0.587 0.184 0.587

***

This record from Alexandria describes an optimized crystal structure of ThFeCoSi2. The functional is PBE.

Calculated values
- formation energy from raw total energies (eV per atom) = -0.764
- symmetry = I-4m2, No. 119

Lattice parameters (Å, degrees): 4.002 4.002 5.652 110.74 110.74 90.00
Positions (direct):
Co 0.250 0.750 0.500
Th 0.000 0.000 0.000
Fe 0.750 0.250 0.500
Si 0.365 0.365 0.731
Si 0.635 0.635 0.269